Record 1
First-principles (PBE) data for a geometry-optimized Y3Pa3BeN8 structure, as listed in the Alexandria database.

Summary:
Uncorrected energy, eV/atom: -9.1233
ρ, g/cm3: 8.0

Lattice parameters (Å, degrees): 6.7920 6.7920 16.8305 90.00 90.00 120.00
Space group R-3m (No. 166, hexagonal axes)
Asymmetric unit:
Y1 0.0000 0.5000 0.0000 (multiplicity 9)
Pa1 0.0000 0.5000 0.5000 (multiplicity 9)
Be1 0.0000 0.0000 0.5000 (multiplicity 3)
N1 0.0000 0.0000 0.2502 (multiplicity 6)
N2 0.0128 0.5064 0.2375 (multiplicity 18)

Record 2
First-principles (PBE) data for a geometry-optimized MgAgIr structure, as listed in the Alexandria database.

Summary:
Energy above the most stable polymorph in this dataset, eV per formula unit: 0.103
Calculated formation energy, eV/atom: 0.01
ρ, g/cm3: 10.9

Lattice parameters (Å, degrees): 2.868 2.868 12.051 90.00 90.00 90.00
Space group I4mm (No. 107)
Asymmetric unit:
Mg1 0.000 0.000 0.000 (multiplicity 2)
Ag1 0.000 0.000 0.320 (multiplicity 2)
Ir1 0.000 0.000 0.649 (multiplicity 2)

Record 3
First-principles (PBE) data for a geometry-optimized CePm2Ir structure, as listed in the Alexandria database.

Summary:
Energy above the most stable polymorph in this dataset, eV per formula unit: 0.136
Calculated formation energy, eV/atom: -0.41
ρ, g/cm3: 9.0

Lattice parameters (Å, degrees): 3.849 12.235 9.782 90.00 90.00 90.00
Space group Cmcm (No. 63)
Asymmetric unit:
Ce1 0.000 0.086 0.250 (multiplicity 4)
Pm1 0.000 0.359 0.065 (multiplicity 8)
Ir1 0.000 0.254 0.750 (multiplicity 4)

Record 4
First-principles (PBE) data for a geometry-optimized CeScGa3 structure, as listed in the Alexandria database.

Summary:
Calculated formation energy, eV/atom: -0.58
ρ, g/cm3: 6.1

Lattice parameters (Å, degrees): 4.147 25.078 4.132 90.00 90.00 90.00
Space group Cmcm (No. 63)
Asymmetric unit:
Ce1 0.000 0.076 0.250 (multiplicity 4)
Sc1 0.000 0.205 0.750 (multiplicity 4)
Ga1 0.000 0.317 0.750 (multiplicity 4)
Ga2 0.000 0.376 0.250 (multiplicity 4)
Ga3 0.000 0.475 0.250 (multiplicity 4)

Record 5
First-principles (PBE) data for a geometry-optimized Ca2CdS2 structure, as listed in the Alexandria database.

Summary:
Energy above the most stable polymorph in this dataset, eV per formula unit: 0.000
ρ, g/cm3: 3.8

Lattice parameters (Å, degrees): 7.848 7.848 3.641 90.00 90.00 90.00
Space group P4/mbm (No. 127)
Asymmetric unit:
Ca1 0.155 0.345 0.000 (multiplicity 4)
Cd1 0.000 0.000 0.500 (multiplicity 2)
S1 0.150 0.650 0.500 (multiplicity 4)

Record 6
First-principles (PBE) data for a geometry-optimized NiI structure, as listed in the Alexandria database.

Summary:
Uncorrected energy, eV/atom: -3.5505
ρ, g/cm3: 5.7

Lattice parameters (Å, degrees): 10.313 10.313 4.080 90.00 90.00 90.00
Space group I4/m (No. 87)
Asymmetric unit:
Ni1 0.194 0.300 0.000 (multiplicity 8)
I1 0.060 0.269 0.500 (multiplicity 8)

Record 7
First-principles (PBE) data for a geometry-optimized PaGePt2 structure, as listed in the Alexandria database.

Summary:
Calculated formation energy, eV/atom: -0.69
ρ, g/cm3: 14.9

Lattice parameters (Å, degrees): 6.768 6.768 6.768 90.00 90.00 90.00
Space group Fm-3m (No. 225)
Asymmetric unit:
Pa1 0.000 0.000 0.000 (multiplicity 4)
Ge1 0.000 0.000 0.500 (multiplicity 4)
Pt1 0.250 0.250 0.250 (multiplicity 8)

Record 8
First-principles (PBE) data for a geometry-optimized ErTh4Sn4 structure, as listed in the Alexandria database.

Summary:
Calculated formation energy, eV/atom: -0.30
ρ, g/cm3: 9.8

Lattice parameters (Å, degrees): 9.194 9.194 6.297 90.00 90.00 90.00
Space group P4_2/n (No. 86, origin choice 2)
Asymmetric unit:
Er1 0.250 0.250 0.250 (multiplicity 2)
Th1 0.083 0.823 0.601 (multiplicity 8)
Sn1 0.050 0.137 0.887 (multiplicity 8)

Record 9
First-principles (PBE) data for a geometry-optimized InCuNi2H structure, as listed in the Alexandria database.

Summary:
Energy above the most stable polymorph in this dataset, eV per formula unit: 0.858
ρ, g/cm3: 8.7

Lattice parameters (Å, degrees): 3.698 3.698 4.155 90.00 90.00 90.00
Space group P4/mmm (No. 123)
Asymmetric unit:
In1 0.000 0.000 0.000 (multiplicity 1)
Cu1 0.500 0.500 0.000 (multiplicity 1)
Ni1 0.000 0.500 0.500 (multiplicity 2)
H1 0.000 0.000 0.500 (multiplicity 1)

Record 10
First-principles (PBE) data for a geometry-optimized BeBiSb2 structure, as listed in the Alexandria database.

Summary:
Energy above the most stable polymorph in this dataset, eV per formula unit: 0.000
ρ, g/cm3: 6.2

Lattice parameters (Å, degrees): 6.265 6.265 12.513 90.00 90.00 90.00
Space group I-42d (No. 122)
Asymmetric unit:
Be1 0.000 0.000 0.000 (multiplicity 4)
Bi1 0.000 0.000 0.500 (multiplicity 4)
Sb1 0.167 0.250 0.125 (multiplicity 8)

Record 11
First-principles (PBE) data for a geometry-optimized AlCd2Co structure, as listed in the Alexandria database.

Summary:
Calculated formation energy, eV/atom: 0.29
ρ, g/cm3: 7.3

Lattice parameters (Å, degrees): 2.927 2.927 8.267 90.00 90.00 90.00
Space group P4/mmm (No. 123)
Asymmetric unit:
Al1 0.000 0.000 0.000 (multiplicity 1)
Cd1 0.500 0.500 0.280 (multiplicity 2)
Co1 0.000 0.000 0.500 (multiplicity 1)

Record 12
First-principles (PBE) data for a geometry-optimized La4PmGa2 structure, as listed in the Alexandria database.

Summary:
Calculated formation energy, eV/atom: -0.15
ρ, g/cm3: 6.0

Lattice parameters (Å, degrees): 5.4429 5.4429 27.2478 90.00 90.00 120.00
Space group R-3m (No. 166, hexagonal axes)
Asymmetric unit:
La1 0.0000 0.0000 0.0859 (multiplicity 6)
La2 0.0000 0.0000 0.2792 (multiplicity 6)
Pm1 0.0000 0.0000 0.5000 (multiplicity 3)
Ga1 0.0000 0.0000 0.3925 (multiplicity 6)